LiMnMoRh after structural relaxation. Source: Alexandria, functional GGA-PBE.

extended XYZ file:
```
4
Lattice="0.000 2.988 2.988 2.988 0.000 2.988 2.988 2.988 0.000" Properties=species:S:1:pos:R:3 pbc="T T T"
Li 0.000 0.000 0.000
Mn 4.483 4.483 4.483
Mo 2.988 2.988 2.988
Rh 1.494 1.494 1.494
```

## Properties
DFT formation energy, eV per atom: 0.0926
Calculated total energy, eV per cell: -28.90